First-principles (PBE-GGA) data for Pm4SiTeSe2 after structural relaxation, as listed in the Alexandria database.

Geometry as POSCAR:
```
Pm4SiTeSe2
1.0
7.359 0.000 0.000
0.000 4.268 0.000
-2.491 0.000 7.121
Pm Si Te Se
4 1 1 2
direct
0.244 0.000 0.226
0.256 0.500 0.768
0.744 0.500 0.232
0.756 0.000 0.774
0.500 0.000 0.000
0.500 0.500 0.500
0.000 0.000 0.500
0.000 0.500 0.000
```

Output
The total energy is -5.818 eV per atom. For the size of the total moment, the calculation gives 0.0000 μB/atom. As for the space group: P2/m (10). The value obtained for the uncorrected formation energy is -1501 meV/atom.